(1)
{"formula": "Na5Ni3P3", "functional": "GGA-PBE", "state": "relaxed", "m_tot_mub_per_cell": 0.0, "dft_energy_ev_per_atom": -3.751, "crystal_system": "hexagonal", "space_group": "No. 189", "lattice_angstrom": [[8.6435, 0.0000, 0.0000], [-4.3217, 7.4855, 0.0000], [0.0000, 0.0000, 4.1078]], "species": ["P", "P", "P", "Na", "Na", "Na", "Na", "Na", "Ni", "Ni", "Ni"], "fractional_positions": [[0.3658, 0.0000, 0.5000], [0.0000, 0.3658, 0.5000], [0.6342, 0.6342, 0.5000], [0.3333, 0.6667, 0.5000], [0.0000, 0.7371, 0.5000], [0.2629, 0.2629, 0.5000], [0.7371, 0.0000, 0.5000], [0.6667, 0.3333, 0.5000], [0.6363, 0.6363, 0.0000], [0.0000, 0.3637, 0.0000], [0.3637, 0.0000, 0.0000]]}

=====

(2)
{"formula": "CuAs4S3Cl", "functional": "GGA-PBE", "state": "relaxed", "dft_energy_ev_per_atom": -4.284, "crystal_system": "orthorhombic", "space_group": "No. 57", "lattice_angstrom": [[-3.4903, -4.9844, -9.3189], [7.8211, -7.9520, 1.3239], [-4.7602, -4.0265, 3.9365]], "species": ["Cu", "Cu", "Cu", "Cu", "As", "As", "As", "As", "As", "As", "As", "As", "As", "As", "As", "As", "As", "As", "As", "As", "S", "S", "S", "S", "S", "S", "S", "S", "S", "S", "S", "S", "Cl", "Cl", "Cl", "Cl"], "fractional_positions": [[0.6916, 0.7500, 0.5000], [0.3084, 0.2500, 0.0000], [0.6916, 0.7500, 0.0000], [0.3084, 0.2500, 0.5000], [0.6370, 0.0535, 0.9200], [0.0752, 0.0594, 0.2500], [0.3630, 0.9465, 0.4200], [0.2521, 0.7132, 0.7500], [0.9248, 0.5594, 0.2500], [0.2521, 0.7868, 0.2500], [0.7479, 0.2132, 0.7500], [0.3630, 0.5535, 0.9200], [0.3630, 0.5535, 0.5800], [0.6370, 0.0535, 0.5800], [0.0752, 0.4406, 0.7500], [0.7479, 0.2868, 0.2500], [0.6370, 0.4465, 0.4200], [0.9248, 0.9406, 0.7500], [0.6370, 0.4465, 0.0800], [0.3630, 0.9465, 0.0800], [0.0625, 0.6410, 0.7500], [0.7901, 0.9258, 0.9861], [0.7901, 0.9258, 0.5139], [0.9375, 0.1410, 0.7500], [0.2099, 0.0742, 0.0139], [0.2099, 0.4258, 0.5139], [0.0625, 0.8590, 0.2500], [0.2099, 0.0742, 0.4861], [0.2099, 0.4258, 0.9861], [0.7901, 0.5742, 0.4861], [0.9375, 0.3590, 0.2500], [0.7901, 0.5742, 0.0139], [0.4438, 0.2309, 0.7500], [0.5562, 0.7309, 0.7500], [0.4438, 0.2691, 0.2500], [0.5562, 0.7691, 0.2500]]}

=====

(3)
{"formula": "Pr3Ge4Pd", "functional": "GGA-PBE", "state": "relaxed", "m_tot_mub_per_cell": 0.0, "dft_energy_ev_per_atom": -5.290, "crystal_system": "monoclinic", "space_group": "No. 6", "lattice_angstrom": [[6.9936, 0.0000, 0.0000], [0.0000, 4.2038, 0.0000], [-0.9724, 0.0000, 6.9389]], "species": ["Ge", "Ge", "Ge", "Ge", "Pd", "Pr", "Pr", "Pr"], "fractional_positions": [[0.8021, 0.0000, 0.0693], [0.5736, 0.5000, 0.6434], [0.3445, 0.0000, 0.4783], [0.2413, 0.5000, 0.8487], [0.4655, 0.0000, 0.8347], [0.0817, 0.5000, 0.2419], [0.9354, 0.0000, 0.6880], [0.5559, 0.5000, 0.1957]]}